Entry from Alexandria: a relaxed structure of Na3FeBi3O8 (PBE+U).

Cell: 6.8252 6.8243 6.9198 Å, 119.57 90.00 120.00°
Last column: nearest neighbours and their distance in Å.
Sites, in units of the cell vectors:
O: 0.7844 0.0148 0.2992  1 Fe 2.10
O: 0.2156 0.9852 0.7008  1 Fe 2.10
Bi: 0.5000 0.0000 0.5000  6 O 2.38
O: 0.2549 0.5098 0.2650  3 Bi 2.38, 3 Na 2.48
O: 0.2158 0.4315 0.7008  1 Fe 2.10
O: 0.2304 0.0148 0.2992  1 Fe 2.10
Na: 0.0000 0.5000 0.0000  6 O 2.48-2.53
Fe: 0.0000 0.0000 0.5000  6 O 2.10
O: 0.7451 0.4902 0.7350  3 Bi 2.38, 3 Na 2.48
Bi: 0.0000 0.5000 0.5000  6 O 2.38
Bi: 0.5000 0.5000 0.5000  6 O 2.38
O: 0.7842 0.5685 0.2992  1 Fe 2.10
O: 0.7696 0.9852 0.7008  1 Fe 2.10
Na: 0.0000 0.0000 0.0000  6 O 2.48-2.53
Na: 0.5000 0.5000 0.0000  6 O 2.48-2.53

Summary:
* space-group type: R-3m (166)
* total moment: 5.380 μB/cell
* final energy: -80.245 eV per formula unit
* N(E_F): 7.11 states/eV per cell

---

Entry from Alexandria: a relaxed structure of MnIrI2O (PBE+U).

Cell: 5.6917 5.6917 3.7648 Å, 90.00 90.00 90.00°
Last column: nearest neighbours and their distance in Å.
Sites, in units of the cell vectors:
O: 0.0000 0.0000 0.5000  2 Ir 1.88
I: 0.5000 0.0000 0.0000  2 Ir 2.85
I: 0.0000 0.5000 0.0000  2 Ir 2.85
Ir: 0.0000 0.0000 0.0000  2 O 1.88
Mn: 0.5000 0.5000 0.5000  8 I 3.41, 2 Mn 3.76

Summary:
* space-group type: P4/mmm (123)
* total moment: 5.330 μB/cell
* final energy: -24.209 eV per formula unit
* N(E_F): 1.92 states/eV per cell

---

Which value of total moment does entry 1 give?
5.380 μB/cell

---

Please write out number 1 again, unchanged.
Entry from Alexandria: a relaxed structure of Na3FeBi3O8 (PBE+U).

Cell: 6.8252 6.8243 6.9198 Å, 119.57 90.00 120.00°
Last column: nearest neighbours and their distance in Å.
Sites, in units of the cell vectors:
O: 0.7844 0.0148 0.2992  1 Fe 2.10
O: 0.2156 0.9852 0.7008  1 Fe 2.10
Bi: 0.5000 0.0000 0.5000  6 O 2.38
O: 0.2549 0.5098 0.2650  3 Bi 2.38, 3 Na 2.48
O: 0.2158 0.4315 0.7008  1 Fe 2.10
O: 0.2304 0.0148 0.2992  1 Fe 2.10
Na: 0.0000 0.5000 0.0000  6 O 2.48-2.53
Fe: 0.0000 0.0000 0.5000  6 O 2.10
O: 0.7451 0.4902 0.7350  3 Bi 2.38, 3 Na 2.48
Bi: 0.0000 0.5000 0.5000  6 O 2.38
Bi: 0.5000 0.5000 0.5000  6 O 2.38
O: 0.7842 0.5685 0.2992  1 Fe 2.10
O: 0.7696 0.9852 0.7008  1 Fe 2.10
Na: 0.0000 0.0000 0.0000  6 O 2.48-2.53
Na: 0.5000 0.5000 0.0000  6 O 2.48-2.53

Summary:
* space-group type: R-3m (166)
* total moment: 5.380 μB/cell
* final energy: -80.245 eV per formula unit
* N(E_F): 7.11 states/eV per cell

---

Look up the N(E_F) of the second one.
1.92 states/eV per cell

---

The lowest total moment belongs to which entry?
MnIrI2O